CsNpO3 after structural relaxation. Source: Alexandria via LeMat-Bulk, functional PBE-GGA.

Geometry as POSCAR:
```
CsNpO3
1.0
12.190 0.000 0.000
0.000 3.590 0.000
0.000 0.000 9.735
Cs Np O
4 4 12
Cartesian
2.279 0.898 0.079
3.816 2.693 4.946
8.374 0.898 4.789
9.911 2.693 9.656
0.225 0.898 3.354
5.869 2.693 8.221
6.320 0.898 1.513
11.964 2.693 6.381
0.746 2.693 8.016
0.971 0.898 5.351
1.372 2.693 2.835
4.723 0.898 7.702
5.124 2.693 0.484
5.349 0.898 3.149
6.841 2.693 6.586
7.066 0.898 9.251
7.467 2.693 2.033
10.818 0.898 6.900
11.219 2.693 4.383
11.444 0.898 1.718
```

Results
As for the symmetry: No. 62. The density of states at the Fermi level comes out at 19.04 states/eV per cell. Its crystal system is orthorhombic.

=====

Cs4NpO6 after structural relaxation. Source: Alexandria via LeMat-Bulk, functional PBE-GGA.

Geometry as POSCAR:
```
Cs4NpO6
1.0
5.728 3.307 4.916
-5.728 3.307 4.916
0.000 -6.614 4.916
Cs Np O
8 2 12
Cartesian
-3.667 0.262 6.144
0.000 0.000 3.687
-2.061 -3.045 8.602
1.606 -3.307 6.144
-1.606 3.307 8.602
2.061 3.045 6.144
0.000 0.000 11.060
3.667 -0.262 8.602
0.000 0.000 0.000
0.000 0.000 7.373
-5.024 -1.841 8.649
-0.918 -5.272 6.097
-4.106 3.431 6.097
-0.918 -1.343 6.192
-0.704 1.467 6.192
-1.622 0.124 8.555
1.622 -0.124 6.192
0.704 -1.467 8.555
0.918 1.343 8.555
4.106 -3.431 8.649
0.918 5.272 8.649
5.024 1.841 6.097
```

Results
As for the symmetry: No. 167. The density of states at the Fermi level comes out at 22.84 states/eV per cell. Its crystal system is trigonal.

=====

Cs2NpO5 after structural relaxation. Source: Alexandria via LeMat-Bulk, functional PBE-GGA.

Geometry as POSCAR:
```
Cs2NpO5
1.0
6.804 0.000 0.000
0.000 6.804 0.000
0.000 0.000 4.384
Cs Np O
2 1 5
Cartesian
0.000 3.402 0.000
3.402 0.000 0.000
0.000 0.000 2.192
0.000 0.000 0.000
1.352 1.352 2.192
1.352 5.453 2.192
5.453 1.352 2.192
5.453 5.453 2.192
```

Results
As for the symmetry: No. 123. The density of states at the Fermi level comes out at 5.53 states/eV per cell. Its crystal system is tetragonal.

=====

Cs3NpO4 after structural relaxation. Source: Alexandria via LeMat-Bulk, functional PBE-GGA.

Geometry as POSCAR:
```
Cs3NpO4
1.0
7.069 0.000 0.000
0.000 7.069 0.000
0.000 0.000 8.465
Cs Np O
6 2 8
Cartesian
0.000 0.000 0.000
0.000 3.535 2.116
0.000 3.535 6.349
3.535 0.000 2.116
3.535 0.000 6.349
3.535 3.535 4.232
0.000 0.000 4.232
3.535 3.535 0.000
1.391 1.391 4.232
1.391 5.679 4.232
2.144 2.144 0.000
2.144 4.925 0.000
4.925 2.144 0.000
4.925 4.925 0.000
5.679 1.391 4.232
5.679 5.679 4.232
```

Results
As for the symmetry: No. 139. The density of states at the Fermi level comes out at 3.65 states/eV per cell. Its crystal system is tetragonal.

=====

CsNpO4 after structural relaxation. Source: Alexandria via LeMat-Bulk, functional PBE-GGA.

Geometry as POSCAR:
```
CsNpO4
1.0
4.227 0.000 0.000
0.000 4.227 0.000
0.000 0.000 6.670
Cs Np O
1 1 4
Cartesian
0.000 0.000 0.000
2.113 2.113 3.335
0.000 2.113 3.335
2.113 0.000 3.335
2.113 2.113 1.474
2.113 2.113 5.196
```

Results
As for the symmetry: No. 123. Its crystal system is tetragonal.

=====

Cs5NpO6 after structural relaxation. Source: Alexandria via LeMat-Bulk, functional PBE-GGA.

Geometry as POSCAR:
```
Cs5NpO6
1.0
3.599 -6.247 0.000
3.599 6.247 0.000
-2.383 0.000 6.568
Cs Np O
5 1 6
Cartesian
0.000 0.000 0.000
2.408 4.155 3.284
3.599 2.011 0.000
3.599 -2.011 0.000
2.408 -4.155 3.284
2.408 0.000 3.284
1.572 1.436 2.091
0.741 0.000 4.503
1.572 -1.436 2.091
3.243 1.436 4.477
4.075 0.000 2.065
3.243 -1.436 4.477
```

Results
As for the symmetry: No. 12. Its crystal system is monoclinic.

=====

Cs4NpO5 after structural relaxation. Source: Alexandria via LeMat-Bulk, functional PBE-GGA.

Geometry as POSCAR:
```
Cs4NpO5
1.0
-4.608 4.608 2.985
4.608 -4.608 2.985
4.608 4.608 -2.985
Cs Np O
4 1 5
Cartesian
6.487 0.960 0.000
0.960 2.729 0.000
3.647 1.879 2.985
-1.879 3.647 2.985
0.000 0.000 2.829
0.000 0.000 0.748
3.961 2.698 -0.027
1.910 -0.647 2.958
2.698 5.255 -0.027
0.647 1.910 2.958
```

Results
As for the symmetry: No. 79. The density of states at the Fermi level comes out at 0.35 states/eV per cell. Its crystal system is tetragonal.

=====

CsNpO3 after structural relaxation. Source: Alexandria via LeMat-Bulk, functional PBE-GGA.

Geometry as POSCAR:
```
CsNpO3
1.0
4.388 0.000 0.000
0.000 4.388 0.000
0.000 0.000 4.388
Cs Np O
1 1 3
Cartesian
0.000 0.000 0.000
2.194 2.194 2.194
0.000 2.194 2.194
2.194 0.000 2.194
2.194 2.194 0.000
```

Results
As for the symmetry: No. 221. The density of states at the Fermi level comes out at 4.54 states/eV per cell. Its crystal system is cubic.

=====

Cs3NpO4 after structural relaxation. Source: Alexandria via LeMat-Bulk, functional PBE-GGA.

Geometry as POSCAR:
```
Cs3NpO4
1.0
5.628 0.000 0.000
0.000 6.995 0.000
0.000 0.000 11.527
Cs Np O
6 2 8
Cartesian
0.000 0.000 0.000
0.000 3.497 3.176
0.000 3.497 8.351
2.814 0.000 2.588
2.814 0.000 8.940
2.814 3.497 5.764
0.000 0.000 5.764
2.814 3.497 0.000
0.000 0.000 3.784
0.000 0.000 7.743
0.000 1.947 5.764
0.000 5.048 5.764
2.814 1.551 0.000
2.814 3.497 1.979
2.814 3.497 9.548
2.814 5.444 0.000
```

Results
As for the symmetry: No. 71. The density of states at the Fermi level comes out at 1.76 states/eV per cell. Its crystal system is orthorhombic.

=====

Cs2NpPaO6 after structural relaxation. Source: Alexandria via LeMat-Bulk, functional PBE-GGA.

Geometry as POSCAR:
```
Cs2NpPaO6
1.0
-3.140 3.140 4.473
3.140 -3.140 4.473
3.140 3.140 -4.473
Cs Np Pa O
2 1 1 6
Cartesian
3.140 0.000 2.237
0.000 3.140 2.237
0.000 0.000 0.000
0.000 0.000 4.473
0.000 0.000 2.027
1.623 1.623 0.000
1.516 -1.516 4.473
-1.516 1.516 4.473
1.516 1.516 4.473
0.000 0.000 6.920
```

Results
As for the symmetry: No. 139. The density of states at the Fermi level comes out at 4.81 states/eV per cell. Its crystal system is tetragonal.

=====

Cs4NpPa3O12 after structural relaxation. Source: Alexandria via LeMat-Bulk, functional PBE-GGA.

Geometry as POSCAR:
```
Cs4NpPa3O12
1.0
-4.440 4.440 4.440
4.440 -4.440 4.440
4.440 4.440 -4.440
Cs Np Pa O
4 1 3 12
Cartesian
2.220 2.220 -2.220
2.220 -2.220 2.220
-2.220 2.220 2.220
2.220 2.220 2.220
0.000 0.000 0.000
4.440 0.000 0.000
0.000 4.440 0.000
0.000 0.000 4.440
2.202 0.000 0.000
6.678 0.000 0.000
0.000 2.202 0.000
0.000 0.000 2.202
4.440 2.220 0.000
4.440 0.000 2.220
2.220 4.440 0.000
2.220 0.000 4.440
0.000 4.440 2.220
0.000 2.220 4.440
0.000 6.678 0.000
0.000 0.000 6.678
```

Results
As for the symmetry: No. 229. The density of states at the Fermi level comes out at 8.18 states/eV per cell. Its crystal system is cubic.

=====

CsNpPa2O8 after structural relaxation. Source: Alexandria via LeMat-Bulk, functional PBE-GGA.

Geometry as POSCAR:
```
CsNpPa2O8
1.0
5.399 0.000 0.000
0.314 5.410 0.000
0.126 0.082 7.287
Cs Np Pa O
1 1 2 8
Cartesian
0.000 0.000 0.000
0.063 0.041 3.644
2.858 2.710 1.852
2.981 2.782 5.435
1.439 4.369 4.989
1.509 4.335 2.225
1.868 1.793 3.589
2.047 2.030 7.169
3.792 3.462 0.118
3.971 3.699 3.699
4.330 1.157 5.062
4.400 1.123 2.299
```

Results
As for the symmetry: No. 2. The density of states at the Fermi level comes out at 4.05 states/eV per cell. Its crystal system is triclinic.

=====

Quick rundown of total magnetization, same order as above: 8.000 2.276 1.048 3.911 0.000 0.000 1.000 2.000 3.707 2.000 2.000 2.000 μB/cell
Quick rundown of energy relative to the elements, uncorrected, same order as above: -2.53 -1.95 -2.13 -2.00 -2.47 -1.99 -2.06 -2.57 -1.98 -2.81 -2.93 -2.99 eV per atom